1.
First-principles (GGA-PBE) data for a geometry-optimized TmAlNi4 structure, as listed in Alexandria.

Lattice parameters (Å, degrees): 3.803 5.762 7.886 90.00 103.95 90.00
Positions (direct):
Ni  0.336  0.046  0.672
Ni  0.500  0.000  0.000
Ni  0.923  0.250  0.846
Ni  0.077  0.750  0.154
Ni  0.500  0.500  0.000
Ni  0.336  0.454  0.672
Ni  0.664  0.954  0.328
Ni  0.664  0.546  0.328
Tm  0.099  0.250  0.198
Tm  0.901  0.750  0.802
Al  0.769  0.250  0.539
Al  0.231  0.750  0.461

Calculated values
Excess energy over the best structure of this formula in the dataset ... 147 meV per atom
SG ... No. 63



2.
First-principles (GGA-PBE) data for a geometry-optimized BaLi2RuO4 structure, as listed in Alexandria.

Lattice parameters (Å, degrees): 5.517 5.371 5.371 61.80 59.10 59.10
Positions (direct):
O  0.855  0.533  0.145
O  0.145  0.855  0.467
O  0.467  0.145  0.533
O  0.533  0.467  0.855
Li  0.750  0.750  0.750
Li  0.250  0.250  0.250
Ru  0.500  0.500  0.500
Ba  0.000  0.000  0.000

Calculated values
Uncorrected energy ... -47.7 eV for the cell shown
SG ... No. 121